La2Mo2O7: optimized geometry, PBE+U.

Symmetry   No. 58
E_tot   -7.7898 eV per atom

Lattice parameters (Å, degrees): 4.007 6.106 12.379 90.00 90.00 90.00
Fractional coordinates of all 22 atoms:
La: 0.000 0.405 0.157
La: 0.500 0.905 0.343
La: 0.000 0.595 0.843
La: 0.500 0.095 0.657
O: 0.000 0.851 0.702
O: 0.000 0.615 0.382
O: 0.500 0.500 0.000
O: 0.500 0.351 0.798
O: 0.000 0.385 0.618
O: 0.000 0.232 0.958
O: 0.000 0.000 0.500
O: 0.500 0.732 0.542
O: 0.500 0.649 0.202
O: 0.500 0.115 0.118
O: 0.500 0.268 0.458
O: 0.000 0.768 0.042
O: 0.500 0.885 0.882
O: 0.000 0.149 0.298
Mo: 0.000 0.314 0.448
Mo: 0.500 0.814 0.052
Mo: 0.000 0.686 0.552
Mo: 0.500 0.186 0.948